(1)
AsHPtBr2: single point on PBEsol structure, SCAN.

Its volume is 25.833 Å³ per atom. Its total energy is -25.958 eV/atom.

```
AsHPtBr2
1.0
5.2924 0.0000 0.0000
0.0000 5.2924 0.0000
0.0000 0.0000 4.6116
As H Pt Br
1 1 1 2
direct
0.0000 0.0000 0.0000
0.5000 0.5000 0.0000
0.0000 0.0000 0.5000
0.0000 0.5000 0.5000
0.5000 0.0000 0.5000
```

---

(2)
AsHSeBr2: single point on PBEsol structure, SCAN.

Its volume is 27.423 Å³ per atom. Its total energy is -15.992 eV/atom.

```
AsHSeBr2
1.0
5.2553 0.0000 0.0000
0.0000 5.2553 0.0000
0.0000 0.0000 4.9647
As H Se Br
1 1 1 2
direct
0.0000 0.0000 0.0000
0.5000 0.5000 0.5000
0.0000 0.0000 0.5000
0.0000 0.5000 0.0000
0.5000 0.0000 0.0000
```

---

(3)
SiAs2HBr: single point on PBEsol structure, SCAN.

Its volume is 17.254 Å³ per atom. Its excess energy over the best structure of this formula in the dataset is 0 meV/atom.

```
SiAs2HBr
1.0
3.9361 0.0000 0.0000
0.0000 3.9361 0.0000
0.0000 0.0000 5.5685
Si As H Br
1 2 1 1
direct
0.0000 0.0000 0.0000
0.0000 0.5000 0.5000
0.5000 0.0000 0.5000
0.5000 0.5000 0.5000
0.5000 0.5000 0.0000
```